Density functional theory data (PBE) for a geometry-optimized PmHoInNi structure.

Summary:
**Size of the total moment**: 0.0000 μB per atom
**Uncorrected energy**: -75.881 eV/cell
**DFT formation energy**: -0.281 eV/atom

```
data_PmHoInNi
_chemical_formula_sum 'Pm4 Ho4 In4 Ni4'
_symmetry_space_group_name_H-M 'F -4 3 m'
_symmetry_Int_Tables_number 216
_symmetry_space_group_name_Hall 'F -4 2 3'
_cell_length_a 7.287
_cell_length_b 7.287
_cell_length_c 7.287
_cell_angle_alpha 90.00
_cell_angle_beta 90.00
_cell_angle_gamma 90.00
loop_
_atom_site_label
_atom_site_fract_x
_atom_site_fract_y
_atom_site_fract_z
_atom_site_occupancy
Pm1 0.000 0.000 0.000 1
Ho1 0.000 0.000 0.500 1
In1 0.250 0.250 0.750 1
Ni1 0.250 0.250 0.250 1
```